## i
{
  "formula": "BaCdHg4",
  "functional": "PBE",
  "state": "relaxed",
  "dos_ef_per_ev_atom": 0.6874,
  "volume_a3_per_cell": 175.5,
  "cell": [[-5.520, 2.259, 1.982], [-4.647, -3.948, 1.523], [-1.699, -0.684, 6.012]],
  "species": ["Hg", "Hg", "Hg", "Hg", "Ba", "Cd"],
  "frac_coords": [[0.626, 0.626, 0.123], [0.626, 0.123, 0.626], [0.123, 0.626, 0.626], [0.626, 0.626, 0.626], [0.250, 0.250, 0.250], [0.000, 0.000, 0.000]]
}

## ii
{
  "formula": "BaCdHg4",
  "functional": "PBE",
  "state": "relaxed",
  "dos_ef_per_ev_atom": 0.5713,
  "volume_a3_per_cell": 364.3,
  "cell": [[5.668, 0.000, 0.000], [0.000, 8.047, 0.000], [-2.834, 0.000, 7.987]],
  "species": ["Hg", "Hg", "Hg", "Hg", "Hg", "Hg", "Hg", "Hg", "Cd", "Cd", "Ba", "Ba"],
  "frac_coords": [[0.778, 0.569, 0.557], [0.222, 0.069, 0.443], [0.597, 0.750, 0.194], [0.000, 0.000, 0.000], [0.000, 0.500, 0.000], [0.778, 0.931, 0.557], [0.222, 0.431, 0.443], [0.403, 0.250, 0.806], [0.860, 0.250, 0.720], [0.140, 0.750, 0.280], [0.615, 0.250, 0.230], [0.385, 0.750, 0.770]]
}

Most stable structure, least stable structure: ii, i.

## i
{
  "formula": "BaCd2Hg6",
  "functional": "PBE",
  "state": "relaxed",
  "dos_ef_per_ev_atom": 0.6059,
  "volume_a3_per_cell": 254.4,
  "cell": [[3.507, 0.000, 0.000], [0.000, 7.927, -4.577], [0.000, 0.000, 9.154]],
  "species": ["Hg", "Hg", "Hg", "Hg", "Hg", "Hg", "Ba", "Cd", "Cd"],
  "frac_coords": [[0.500, 0.000, 0.659], [0.500, 0.659, 0.000], [0.500, 0.341, 0.000], [0.500, 0.341, 0.341], [0.500, 0.000, 0.341], [0.500, 0.659, 0.659], [0.000, 0.000, 0.000], [0.000, 0.667, 0.333], [0.000, 0.333, 0.667]]
}

## ii
{
  "formula": "BaCd2Hg6",
  "functional": "PBE",
  "state": "relaxed",
  "dos_ef_per_ev_atom": 0.4420,
  "volume_a3_per_cell": 301.4,
  "cell": [[6.182, 0.000, 0.000], [-3.091, 5.354, 0.000], [0.000, 0.000, 9.107]],
  "species": ["Hg", "Hg", "Hg", "Hg", "Hg", "Hg", "Ba", "Cd", "Cd"],
  "frac_coords": [[0.499, 0.000, 0.794], [0.000, 0.499, 0.794], [0.501, 0.000, 0.206], [0.501, 0.501, 0.794], [0.000, 0.501, 0.206], [0.499, 0.499, 0.206], [0.000, 0.000, 0.000], [0.667, 0.333, 0.500], [0.333, 0.667, 0.500]]
}

Most stable structure, least stable structure: i, ii.

## i
{
  "formula": "Ba2CdHg",
  "functional": "PBE",
  "state": "relaxed",
  "dos_ef_per_ev_atom": 0.9220,
  "volume_a3_per_cell": 148.2,
  "cell": [[7.057, -0.008, -0.004], [3.399, 6.185, 0.004], [-4.621, -4.117, 3.392]],
  "species": ["Ba", "Ba", "Cd", "Hg"],
  "frac_coords": [[0.273, 0.773, 0.500], [0.969, 0.969, 0.000], [0.536, 0.536, 0.000], [0.722, 0.222, 0.500]]
}

## ii
{
  "formula": "Ba2CdHg",
  "functional": "PBE",
  "state": "relaxed",
  "dos_ef_per_ev_atom": 1.7995,
  "volume_a3_per_cell": 357.3,
  "cell": [[-7.304, -4.510, 3.517], [0.540, -6.224, -6.858], [-0.834, -7.692, 0.640]],
  "species": ["Cd", "Cd", "Hg", "Hg", "Ba", "Ba", "Ba", "Ba"],
  "frac_coords": [[0.250, 0.750, 0.500], [0.500, 0.500, 0.000], [0.000, 0.000, 0.000], [0.750, 0.250, 0.500], [0.115, 0.625, 0.250], [0.635, 0.125, 0.250], [0.375, 0.365, 0.750], [0.875, 0.885, 0.750]]
}

Most stable structure, least stable structure: i, ii.

## i
{
  "formula": "Ba2CdHg",
  "functional": "PBE",
  "state": "relaxed",
  "dos_ef_per_ev_atom": 0.3509,
  "volume_a3_per_cell": 133.2,
  "cell": [[-4.264, -1.030, -3.691], [0.430, -4.322, -3.743], [-3.267, -4.669, 0.625]],
  "species": ["Hg", "Cd", "Ba", "Ba"],
  "frac_coords": [[0.750, 0.750, 0.750], [0.500, 0.500, 0.500], [0.250, 0.250, 0.250], [0.000, 0.000, 0.000]]
}

## ii
{
  "formula": "Ba2CdHg",
  "functional": "PBE",
  "state": "relaxed",
  "dos_ef_per_ev_atom": 0.8695,
  "volume_a3_per_cell": 151.9,
  "cell": [[-1.727, 5.360, -2.017], [-4.060, -1.090, 0.579], [0.213, 2.165, 5.572]],
  "species": ["Ba", "Ba", "Cd", "Hg"],
  "frac_coords": [[0.000, 0.125, 0.875], [0.500, 0.125, 0.375], [0.000, 0.625, 0.375], [0.500, 0.625, 0.875]]
}

## iii
{
  "formula": "Ba2CdHg",
  "functional": "PBE",
  "state": "relaxed",
  "dos_ef_per_ev_atom": 1.0654,
  "volume_a3_per_cell": 182.8,
  "cell": [[-3.204, 0.643, -8.389], [1.603, -0.550, -8.842], [-1.751, -4.080, -7.832]],
  "species": ["Hg", "Ba", "Ba", "Cd"],
  "frac_coords": [[0.250, 0.250, 0.250], [0.998, 0.998, 0.998], [0.502, 0.502, 0.502], [0.750, 0.750, 0.750]]
}

## iv
{
  "formula": "Ba2CdHg",
  "functional": "PBE",
  "state": "relaxed",
  "dos_ef_per_ev_atom": 0.6646,
  "volume_a3_per_cell": 149.5,
  "cell": [[6.721, 0.014, 0.109], [5.416, 3.980, 0.109], [1.741, 0.573, 5.637]],
  "species": ["Ba", "Ba", "Cd", "Hg"],
  "frac_coords": [[0.973, 0.973, 0.059], [0.773, 0.773, 0.696], [0.531, 0.531, 0.504], [0.223, 0.223, 0.240]]
}

Most stable structure, least stable structure: ii, i.

## i
{
  "formula": "Ba2CdHg",
  "functional": "PBE",
  "state": "relaxed",
  "dos_ef_per_ev_atom": 0.6222,
  "volume_a3_per_cell": 152.0,
  "cell": [[0.000, 4.236, 4.236], [4.236, 0.000, 4.236], [4.236, 4.236, 0.000]],
  "species": ["Cd", "Ba", "Ba", "Hg"],
  "frac_coords": [[0.000, 0.000, 0.000], [0.250, 0.250, 0.250], [0.750, 0.750, 0.750], [0.500, 0.500, 0.500]]
}

## ii
{
  "formula": "Ba2CdHg",
  "functional": "PBE",
  "state": "relaxed",
  "dos_ef_per_ev_atom": 0.7303,
  "volume_a3_per_cell": 144.3,
  "cell": [[6.497, -0.065, 0.000], [2.417, 6.031, 0.000], [-4.457, -2.983, 3.668]],
  "species": ["Ba", "Ba", "Hg", "Cd"],
  "frac_coords": [[0.000, 0.000, 0.000], [0.250, 0.750, 0.500], [0.750, 0.250, 0.500], [0.500, 0.500, 0.000]]
}

## iii
{
  "formula": "Ba2CdHg",
  "functional": "PBE",
  "state": "relaxed",
  "dos_ef_per_ev_atom": 0.7121,
  "volume_a3_per_cell": 165.9,
  "cell": [[4.424, 0.000, 0.000], [0.000, 4.424, 0.000], [0.000, 0.000, 8.477]],
  "species": ["Hg", "Cd", "Ba", "Ba"],
  "frac_coords": [[0.500, 0.500, 0.733], [0.000, 0.000, 0.519], [0.500, 0.500, 0.326], [0.000, 0.000, 0.922]]
}

## iv
{
  "formula": "Ba2CdHg",
  "functional": "PBE",
  "state": "relaxed",
  "dos_ef_per_ev_atom": 1.2261,
  "volume_a3_per_cell": 177.3,
  "cell": [[4.713, 0.000, 0.000], [2.357, 4.082, 0.000], [2.357, 1.361, 9.216]],
  "species": ["Cd", "Hg", "Ba", "Ba"],
  "frac_coords": [[0.501, 0.501, 0.498], [0.666, 0.666, 0.002], [0.252, 0.252, 0.243], [0.081, 0.081, 0.757]]
}

Most stable structure, least stable structure: i, ii.

## i
{
  "formula": "BaCd6Hg4",
  "functional": "PBE",
  "state": "relaxed",
  "dos_ef_per_ev_atom": 0.4744,
  "volume_a3_per_cell": 312.9,
  "cell": [[7.598, -0.128, -0.189], [-3.627, 6.678, 0.189], [-3.627, -2.280, 6.279]],
  "species": ["Cd", "Cd", "Cd", "Cd", "Cd", "Cd", "Ba", "Hg", "Hg", "Hg", "Hg"],
  "frac_coords": [[0.000, 0.750, 0.440], [0.690, 0.250, 0.250], [0.310, 0.560, 0.560], [0.500, 0.500, 0.000], [0.500, 0.000, 0.500], [0.000, 0.440, 0.750], [0.000, 0.000, 0.000], [0.561, 0.459, 0.459], [0.439, 0.898, 0.898], [0.000, 0.102, 0.541], [0.000, 0.541, 0.102]]
}

## ii
{
  "formula": "BaCd6Hg4",
  "functional": "PBE",
  "state": "relaxed",
  "dos_ef_per_ev_atom": 0.5001,
  "volume_a3_per_cell": 285.5,
  "cell": [[4.803, 0.000, 0.000], [0.000, 7.175, -4.143], [0.000, 0.000, 8.285]],
  "species": ["Ba", "Cd", "Cd", "Cd", "Cd", "Cd", "Cd", "Hg", "Hg", "Hg", "Hg"],
  "frac_coords": [[0.000, 0.000, 0.000], [0.500, 0.205, 0.411], [0.000, 0.539, 0.461], [0.000, 0.539, 0.079], [0.500, 0.589, 0.795], [0.000, 0.921, 0.461], [0.500, 0.205, 0.795], [0.500, 0.803, 0.197], [0.500, 0.803, 0.607], [0.500, 0.393, 0.197], [0.000, 0.333, 0.667]]
}

Most stable structure, least stable structure: ii, i.